[1]
Below is a relaxed In2CoAu crystal, with properties calculated at the PBE level.

CIF file:
```
data_In2CoAu
_space_group_name_H-M_alt 'F m -3 m'
_space_group_IT_number 225
_space_group_name_Hall '-F 4 2 3'
_cell_length_a 6.612
_cell_length_b 6.612
_cell_length_c 6.612
_cell_angle_alpha 90.00
_cell_angle_beta 90.00
_cell_angle_gamma 90.00
loop_
_atom_site_label
_atom_site_type_symbol
_atom_site_fract_x
_atom_site_fract_y
_atom_site_fract_z
In1 In 0.250 0.250 0.250
Co1 Co 0.000 0.000 0.000
Au1 Au 0.000 0.000 0.500
```

Properties
Formation enthalpy at 0 K in eV per formula unit: 0.61
Theoretical density in g cm⁻³: 11.159
Energy relative to the lowest polymorph listed for this composition in meV/atom: 150.5



[2]
Below is a relaxed In2CoAu crystal, with properties calculated at the PBE level.

CIF file:
```
data_In2CoAu
_space_group_name_H-M_alt 'R -3 m'
_space_group_IT_number 166
_space_group_name_Hall '-R 3 2"'
_cell_length_a 3.1839
_cell_length_b 3.1839
_cell_length_c 25.5011
_cell_angle_alpha 90.00
_cell_angle_beta 90.00
_cell_angle_gamma 120.00
loop_
_atom_site_label
_atom_site_type_symbol
_atom_site_fract_x
_atom_site_fract_y
_atom_site_fract_z
In1 In 0.0000 0.0000 0.2417
Co1 Co 0.0000 0.0000 0.5000
Au1 Au 0.0000 0.0000 0.0000
```

Properties
Formation enthalpy at 0 K in eV per formula unit: 0.68
Theoretical density in g cm⁻³: 10.804
Energy relative to the lowest polymorph listed for this composition in meV/atom: 167.5



[3]
Below is a relaxed InCo2Au2 crystal, with properties calculated at the PBE level.

CIF file:
```
data_InCo2Au2
_space_group_name_H-M_alt 'I 4/m m m'
_space_group_IT_number 139
_space_group_name_Hall '-I 4 2'
_cell_length_a 3.457
_cell_length_b 3.457
_cell_length_c 14.419
_cell_angle_alpha 90.00
_cell_angle_beta 90.00
_cell_angle_gamma 90.00
loop_
_atom_site_label
_atom_site_type_symbol
_atom_site_fract_x
_atom_site_fract_y
_atom_site_fract_z
In1 In 0.000 0.000 0.000
Co1 Co 0.000 0.500 0.250
Au1 Au 0.000 0.000 0.392
```

Properties
Formation enthalpy at 0 K in eV per formula unit: 1.19
Theoretical density in g cm⁻³: 12.078
Energy relative to the lowest polymorph listed for this composition in meV/atom: 54.0



[4]
Below is a relaxed InCo2Au crystal, with properties calculated at the PBE level.

CIF file:
```
data_InCo2Au
_space_group_name_H-M_alt 'I -4 2 d'
_space_group_IT_number 122
_space_group_name_Hall 'I -4 2bw'
_cell_length_a 3.883
_cell_length_b 3.883
_cell_length_c 18.647
_cell_angle_alpha 90.00
_cell_angle_beta 90.00
_cell_angle_gamma 90.00
loop_
_atom_site_label
_atom_site_type_symbol
_atom_site_fract_x
_atom_site_fract_y
_atom_site_fract_z
In1 In 0.000 0.000 0.000
Co1 Co 0.171 0.250 0.625
Au1 Au 0.000 0.000 0.500
```

Properties
Formation enthalpy at 0 K in eV per formula unit: 1.90
Theoretical density in g cm⁻³: 10.148



[5]
Below is a relaxed InCo2Au crystal, with properties calculated at the PBE level.

CIF file:
```
data_InCo2Au
_space_group_name_H-M_alt 'R -3 m'
_space_group_IT_number 166
_space_group_name_Hall '-R 3 2"'
_cell_length_a 2.9143
_cell_length_b 2.9143
_cell_length_c 25.3786
_cell_angle_alpha 90.00
_cell_angle_beta 90.00
_cell_angle_gamma 120.00
loop_
_atom_site_label
_atom_site_type_symbol
_atom_site_fract_x
_atom_site_fract_y
_atom_site_fract_z
In1 In 0.0000 0.0000 0.0000
Co1 Co 0.0000 0.0000 0.2496
Au1 Au 0.0000 0.0000 0.5000
```

Properties
Formation enthalpy at 0 K in eV per formula unit: 1.65
Theoretical density in g cm⁻³: 11.466



[6]
Below is a relaxed In2CoAu crystal, with properties calculated at the PBE level.

CIF file:
```
data_In2CoAu
_space_group_name_H-M_alt 'P 1 m 1'
_space_group_IT_number 6
_cell_length_a 3.222
_cell_length_b 4.594
_cell_length_c 4.921
_cell_angle_alpha 90.00
_cell_angle_beta 90.25
_cell_angle_gamma 90.00
loop_
_space_group_symop_operation_xyz
'x,y,z'
'x,-y,z'
loop_
_atom_site_label
_atom_site_type_symbol
_atom_site_fract_x
_atom_site_fract_y
_atom_site_fract_z
In1 In 0.000 0.000 0.000
In2 In 0.004 0.500 0.582
Co1 Co 0.500 0.500 0.097
Au1 Au 0.503 0.000 0.471
```

Properties
Formation enthalpy at 0 K in eV per formula unit: 0.51
Theoretical density in g cm⁻³: 11.068
Energy relative to the lowest polymorph listed for this composition in meV/atom: 125.1



[7]
Below is a relaxed InCoAu crystal, with properties calculated at the PBE level.

CIF file:
```
data_InCoAu
_space_group_name_H-M_alt 'P 3 m 1'
_space_group_IT_number 156
_cell_length_a 4.4865
_cell_length_b 4.4865
_cell_length_c 2.9276
_cell_angle_alpha 90.00
_cell_angle_beta 90.00
_cell_angle_gamma 120.00
loop_
_space_group_symop_operation_xyz
'x,y,z'
'-y,x-y,z'
'-x+y,-x,z'
'-y,-x,z'
'-x+y,y,z'
'x,x-y,z'
loop_
_atom_site_label
_atom_site_type_symbol
_atom_site_fract_x
_atom_site_fract_y
_atom_site_fract_z
In1 In 0.0000 0.0000 0.0000
Co1 Co 0.3333 0.6667 0.7196
Au1 Au 0.6667 0.3333 0.3596
```

Properties
Formation enthalpy at 0 K in eV per formula unit: 0.73
Theoretical density in g cm⁻³: 12.062



[8]
Below is a relaxed In2CoAu crystal, with properties calculated at the PBE level.

CIF file:
```
data_In2CoAu
_space_group_name_H-M_alt 'P 1 2/m 1'
_space_group_IT_number 10
_cell_length_a 3.115
_cell_length_b 3.113
_cell_length_c 7.360
_cell_angle_alpha 90.00
_cell_angle_beta 90.36
_cell_angle_gamma 90.00
loop_
_space_group_symop_operation_xyz
'x,y,z'
'-x,-y,-z'
'-x,y,-z'
'x,-y,z'
loop_
_atom_site_label
_atom_site_type_symbol
_atom_site_fract_x
_atom_site_fract_y
_atom_site_fract_z
In1 In 0.002 0.000 0.217
Co1 Co 0.500 0.500 0.000
Au1 Au 0.500 0.500 0.500
```

Properties
Formation enthalpy at 0 K in eV per formula unit: 0.21
Theoretical density in g cm⁻³: 11.297
Energy relative to the lowest polymorph listed for this composition in meV/atom: 49.6